[1]
A plane-wave DFT calculation with PBE was carried out for crystalline BiI2Cl at its relaxed geometry.

Computed properties:
Distance to the lowest polymorph of the same formula = 0.22 eV per formula unit
Crystal system = monoclinic
Energy relative to the elements, uncorrected = -547 meV/atom
Magnetic moment = 0.000 μB per atom
SG = No. 8

Lattice parameters (Å, degrees): 7.614 7.614 3.997 105.19 105.19 108.61
Sites, in units of the cell vectors:
1 Bi 0.000 0.000 0.000
2 I 0.011 0.680 0.343
3 I 0.680 0.011 0.343
4 Cl 0.250 0.250 0.746

***

[2]
A plane-wave DFT calculation with PBE was carried out for crystalline La2MoRu at its relaxed geometry.

Computed properties:
Distance to the lowest polymorph of the same formula = 1.61 eV per formula unit
Calculated formation energy = 1.9 eV per formula unit
Crystal system = monoclinic
Magnetic moment = 0.000 μB per atom
SG = No. 10

Lattice parameters (Å, degrees): 3.246 4.558 5.943 90.00 95.84 90.00
Sites, in units of the cell vectors:
1 La 0.244 0.000 0.254
2 La 0.756 0.000 0.746
3 Mo 0.500 0.500 0.000
4 Ru 0.000 0.500 0.500

***

[3]
A plane-wave DFT calculation with PBE was carried out for crystalline PmFe5B2 at its relaxed geometry.

Computed properties:
Calculated formation energy = -1.7 eV per formula unit
Crystal system = orthorhombic
Magnetic moment = 1.158 μB per atom
SG = No. 71

Lattice parameters (Å, degrees): 5.757 5.757 5.757 147.03 109.82 79.74
Sites, in units of the cell vectors:
1 Pm 0.000 0.000 0.000
2 Fe 0.154 0.338 0.815
3 Fe 0.477 0.662 0.815
4 Fe 0.500 0.000 0.500
5 Fe 0.523 0.338 0.185
6 Fe 0.846 0.662 0.185
7 B 0.258 0.758 0.500
8 B 0.742 0.242 0.500